Compound: CaTcTe2Pt
Source: Alexandria via LeMat-Bulk
Functional: PBE-GGA
Structure: relaxed

Magnetic moment (μB per formula unit): 3.7
Formation energy from raw total energies (meV/atom): 1177
Symmetry: No. 123

Geometry as CIF:
```
data_CaTcTe2Pt
_symmetry_space_group_name_H-M 'P 1'
_symmetry_Int_Tables_number 1
_cell_length_a 5.6600
_cell_length_b 5.0507
_cell_length_c 5.6600
_cell_angle_alpha 90.00
_cell_angle_beta 90.00
_cell_angle_gamma 90.00
loop_
_symmetry_equiv_pos_as_xyz
'x,y,z'
loop_
_atom_site_label
_atom_site_fract_x
_atom_site_fract_y
_atom_site_fract_z
Te1 0.0000 0.0000 0.5000
Ca1 0.0000 0.0000 0.0000
Te2 0.5000 0.0000 0.0000
Pt1 0.0000 0.5000 0.0000
Tc1 0.5000 0.5000 0.5000
```

***

Compound: CaZr2TcPt
Source: Alexandria via LeMat-Bulk
Functional: PBE-GGA
Structure: relaxed

ΔE_f (meV per atom): 213
Magnetic moment (μB per formula unit): 0.0
Symmetry: No. 123

Geometry as CIF:
```
data_CaZr2TcPt
_symmetry_space_group_name_H-M 'P 1'
_symmetry_Int_Tables_number 1
_cell_length_a 4.9265
_cell_length_b 5.1730
_cell_length_c 4.9265
_cell_angle_alpha 90.00
_cell_angle_beta 90.00
_cell_angle_gamma 90.00
loop_
_symmetry_equiv_pos_as_xyz
'x,y,z'
loop_
_atom_site_label
_atom_site_fract_x
_atom_site_fract_y
_atom_site_fract_z
Zr1 0.0000 0.0000 0.5000
Tc1 0.0000 0.0000 0.0000
Ca1 0.5000 0.5000 0.5000
Pt1 0.0000 0.5000 0.0000
Zr2 0.5000 0.0000 0.0000
```

***

Compound: Ca2TePt2
Source: Alexandria via LeMat-Bulk
Functional: PBE-GGA
Structure: relaxed

Magnetic moment (μB per formula unit): 0.0
Energy relative to the lowest polymorph listed for this composition (eV per atom): 0.000
Formation energy from raw total energies (meV/atom): -897
Symmetry: No. 127

Geometry as CIF:
```
data_Ca2TePt2
_symmetry_space_group_name_H-M 'P 1'
_symmetry_Int_Tables_number 1
_cell_length_a 7.4988
_cell_length_b 7.4988
_cell_length_c 4.1124
_cell_angle_alpha 90.00
_cell_angle_beta 90.00
_cell_angle_gamma 90.00
loop_
_symmetry_equiv_pos_as_xyz
'x,y,z'
loop_
_atom_site_label
_atom_site_fract_x
_atom_site_fract_y
_atom_site_fract_z
Ca1 0.6714 0.8286 0.5000
Ca2 0.3286 0.1714 0.5000
Te1 0.5000 0.5000 0.0000
Pt1 0.3706 0.8706 0.0000
Pt2 0.8706 0.6294 0.0000
Te2 0.0000 0.0000 0.0000
Ca3 0.8286 0.3286 0.5000
Ca4 0.1714 0.6714 0.5000
Pt3 0.1294 0.3706 0.0000
Pt4 0.6294 0.1294 0.0000
```

***

Compound: CaTePt
Source: Alexandria via LeMat-Bulk
Functional: PBE-GGA
Structure: relaxed

Magnetic moment (μB per formula unit): 0.0
Formation energy from raw total energies (meV/atom): -955
Symmetry: No. 2

Geometry as CIF:
```
data_CaTePt
_symmetry_space_group_name_H-M 'P 1'
_symmetry_Int_Tables_number 1
_cell_length_a 4.2138
_cell_length_b 5.9607
_cell_length_c 6.8467
_cell_angle_alpha 90.53
_cell_angle_beta 89.89
_cell_angle_gamma 110.71
loop_
_symmetry_equiv_pos_as_xyz
'x,y,z'
loop_
_atom_site_label
_atom_site_fract_x
_atom_site_fract_y
_atom_site_fract_z
Pt1 0.2716 0.8618 0.5130
Ca1 0.9762 0.2714 0.5531
Te1 0.0158 0.3471 0.0446
Ca2 0.7238 0.7643 0.1897
Te2 0.6842 0.6885 0.6983
Pt2 0.4284 0.1738 0.2299
```

***

magnetic moment of number 3 (Ca2TePt2)?
0.0 μB per formula unit